Record 1
## Be2MoOs2 (SCAN)

Data for a crystal of Be2MoOs2 relaxed with PBEsol.

The structure belongs to space group P4/mbm (No. 127); the cell edges are 6.3096, 6.3096 and 2.8967 Å and the angles 90.00°, 90.00° and 90.00°. The distinct sites, in fractional coordinates, are Be at (0.1264, 0.3736, 0.0000), Mo at (0.0000, 0.0000, 0.0000) and Os at (0.1645, 0.6645, 0.5000).

The calculation puts the formation energy at -0.2301 eV/atom. The calculation puts the final energy at -377.01 eV for the cell shown.

=====

Record 2
## BeMoOs (SCAN)

Data for a crystal of BeMoOs relaxed with PBEsol.

The structure belongs to space group F-43m (No. 216); the cell edges are 5.6996, 5.6996 and 5.6996 Å and the angles 90.00°, 90.00° and 90.00°. The distinct sites, in fractional coordinates, are Be at (0.0000, 0.0000, 0.0000), Mo at (0.0000, 0.0000, 0.5000) and Os at (0.2500, 0.2500, 0.2500).

As for the relative energy among the computed polymorphs: 145 kJ/mol of formula units. The calculation puts the formation energy at 0.3206 eV/atom. The calculation puts the final energy at -440.63 eV for the cell shown.

=====

Record 3
## BeMoOs (SCAN)

Data for a crystal of BeMoOs relaxed with PBEsol.

The structure belongs to space group Fmm2 (No. 42); the cell edges are 2.9308, 4.4052 and 12.1100 Å and the angles 90.00°, 90.00° and 90.00°. The distinct sites, in fractional coordinates, are Be at (0.0000, 0.0000, 0.0000), Mo at (0.0000, 0.0000, 0.6644) and Os at (0.0000, 0.0000, 0.3466).

As for the relative energy among the computed polymorphs: 110 kJ/mol of formula units. The calculation puts the formation energy at 0.1987 eV/atom. The calculation puts the final energy at -442.09 eV for the cell shown.

=====

Record 4
## BeMoOs (SCAN)

Data for a crystal of BeMoOs relaxed with PBEsol.

The structure belongs to space group I4mm (No. 107); the cell edges are 2.9437, 2.9437 and 8.6567 Å and the angles 90.00°, 90.00° and 90.00°. The distinct sites, in fractional coordinates, are Be at (0.0000, 0.0000, 0.0000), Mo at (0.0000, 0.0000, 0.6764) and Os at (0.0000, 0.0000, 0.3607).

As for the relative energy among the computed polymorphs: 0 kJ/mol of formula units. The calculation puts the formation energy at -0.1801 eV/atom. The calculation puts the final energy at -223.32 eV for the cell shown.

=====

Record 5
## Be2MoOs (SCAN)

Data for a crystal of Be2MoOs relaxed with PBEsol.

The structure belongs to space group Fm-3m (No. 225); the cell edges are 5.6349, 5.6349 and 5.6349 Å and the angles 90.00°, 90.00° and 90.00°. The distinct sites, in fractional coordinates, are Be at (0.2500, 0.2500, 0.2500), Mo at (0.0000, 0.0000, 0.0000) and Os at (0.0000, 0.0000, 0.5000).

As for the relative energy among the computed polymorphs: 26 kJ/mol of formula units. The calculation puts the formation energy at -0.0082 eV/atom. The calculation puts the final energy at -462.02 eV for the cell shown.

=====

Record 6
## Be4MoOs (SCAN)

Data for a crystal of Be4MoOs relaxed with PBEsol.

The structure belongs to space group F-43m (No. 216); the cell edges are 6.1638, 6.1638 and 6.1638 Å and the angles 90.00°, 90.00° and 90.00°. The distinct sites, in fractional coordinates, are Be at (0.1241, 0.1241, 0.1241), Mo at (0.2500, 0.2500, 0.7500) and Os at (0.0000, 0.0000, 0.5000).

The calculation puts the formation energy at -0.3941 eV/atom. The calculation puts the final energy at -506.18 eV for the cell shown.

=====

Record 7
## BeMoP2 (SCAN)

Data for a crystal of BeMoP2 relaxed with PBEsol.

The structure belongs to space group I-42d (No. 122); the cell edges are 5.3330, 5.3330 and 9.7025 Å and the angles 90.00°, 90.00° and 90.00°. The distinct sites, in fractional coordinates, are Be at (0.0000, 0.0000, 0.0000), Mo at (0.0000, 0.0000, 0.5000) and P at (0.2243, 0.2500, 0.1250).

The calculation puts the formation energy at 0.0654 eV/atom. The calculation puts the final energy at -239.10 eV for the cell shown.

=====

Record 8
## BeMoP (SCAN)

Data for a crystal of BeMoP relaxed with PBEsol.

The structure belongs to space group F-43m (No. 216); the cell edges are 5.2980, 5.2980 and 5.2980 Å and the angles 90.00°, 90.00° and 90.00°. The distinct sites, in fractional coordinates, are Be at (0.0000, 0.0000, 0.0000), Mo at (0.2500, 0.2500, 0.2500) and P at (0.2500, 0.2500, 0.7500).

As for the relative energy among the computed polymorphs: 17 kJ/mol of formula units. The calculation puts the formation energy at 0.4262 eV/atom. The calculation puts the final energy at -193.44 eV for the cell shown.

=====

Record 9
## BeMo2P (SCAN)

Data for a crystal of BeMo2P relaxed with PBEsol.

The structure belongs to space group R-3m (No. 166, hexagonal axes); the cell edges are 2.8524, 2.8524 and 22.7184 Å and the angles 90.00°, 90.00° and 120.00°. The distinct sites, in fractional coordinates, are Be at (0.0000, 0.0000, 0.0000), Mo at (0.0000, 0.0000, 0.2483) and P at (0.0000, 0.0000, 0.5000).

The calculation puts the formation energy at 0.1566 eV/atom. The calculation puts the final energy at -251.69 eV for the cell shown.

=====

Record 10
## BeMoP (SCAN)

Data for a crystal of BeMoP relaxed with PBEsol.

The structure belongs to space group F-43m (No. 216); the cell edges are 5.5308, 5.5308 and 5.5308 Å and the angles 90.00°, 90.00° and 90.00°. The distinct sites, in fractional coordinates, are Be at (0.0000, 0.0000, 0.0000), Mo at (0.2500, 0.2500, 0.7500) and P at (0.0000, 0.0000, 0.5000).

As for the relative energy among the computed polymorphs: 0 kJ/mol of formula units. The calculation puts the formation energy at 0.3668 eV/atom. The calculation puts the final energy at -194.15 eV for the cell shown.